1.
# Tl2HgPdSe

A geometry-optimized Tl2HgPdSe structure (GGA-PBE, Alexandria).

VASP energy = -2.31 eV per atom
Crystal system = tetragonal
Uncorrected formation energy = 0.43 eV/atom
Total moment = 0.0 μB per cell
Relative energy among the computed polymorphs = 535 meV per atom
N(E_F) = 1.79 states/eV per cell

Unit cell a=5.7072 b=5.7072 c=5.1321 alpha=90.00 beta=90.00 gamma=90.00
Last column: nearest neighbours and their distance in Å.
Space group P4/mmm (No. 123)
One atom of each set of equivalent atoms:
Tl 0.0000 0.5000 0.0000 x2  2 Hg 2.85
Hg 0.0000 0.0000 0.0000 x1  2 Pd 2.57, 4 Tl 2.85
Pd 0.0000 0.0000 0.5000 x1  2 Hg 2.57
Se 0.5000 0.5000 0.5000 x1  8 Tl 3.84, 4 Pd 4.04


2.
# CaNd5Tl5

A geometry-optimized CaNd5Tl5 structure (GGA-PBE, Alexandria).

Energy of formation from the pure elements = -0.16 eV per atom
VASP energy = -3.59 eV per atom
Crystal system = monoclinic
Total moment = 0.0 μB per cell
N(E_F) = 21.79 states/eV per cell

Unit cell a=17.4853 b=5.9036 c=7.2284 alpha=90.00 beta=109.42 gamma=90.00
Last column: nearest neighbours and their distance in Å.
Space group C2/m (No. 12)
One atom of each set of equivalent atoms:
Ca 0.0000 0.0000 0.0000 x2  6 Tl 2.95-3.26
Nd 0.0000 0.0000 0.5000 x2  4 Tl 3.21-3.56
Nd 0.1254 0.5000 0.6794 x4  6 Tl 3.47-3.81, 4 Nd 3.65-3.80
Nd 0.1895 0.5000 0.2266 x4  5 Tl 3.11-3.26
Tl 0.0000 0.5000 0.0000 x2  2 Ca 2.95, 2 Nd 3.17
Tl 0.1627 0.0000 0.3870 x4  4 Nd 3.11-3.26, 1 Tl 3.22, 1 Ca 3.26
Tl 0.1671 0.0000 0.9458 x4  1 Ca 3.07, 1 Nd 3.15, 1 Tl 3.22


3.
# Nd2Mg3Ag2

A geometry-optimized Nd2Mg3Ag2 structure (GGA-PBE, Alexandria).

Energy of formation from the pure elements = -0.24 eV per atom
VASP energy = -3.10 eV per atom
Crystal system = monoclinic
Total moment = 0.0 μB per cell
Relative energy among the computed polymorphs = 0 meV per atom
N(E_F) = 9.96 states/eV per cell

Unit cell a=10.4875 b=4.7021 c=7.6777 alpha=90.00 beta=113.17 gamma=90.00
Last column: nearest neighbours and their distance in Å.
Space group C2/m (No. 12)
One atom of each set of equivalent atoms:
Nd 0.1393 0.0000 0.2799 x4  4 Ag 3.08-3.23
Mg 0.0000 0.5000 0.5000 x2  4 Ag 2.92, 2 Mg 3.08
Mg 0.1278 0.5000 0.9364 x4  3 Ag 2.82-3.01, 1 Mg 3.08
Ag 0.1500 0.0000 0.7060 x4  5 Mg 2.82-3.01, 1 Nd 3.08